# 1
# PmZn8Rh2 PBE relaxed
data_PmZn8Rh2
_chemical_formula_sum 'Pm2 Zn16 Rh4'
_cell_length_a 7.1285
_cell_length_b 11.5826
_cell_length_c 5.0191
_cell_angle_alpha 90.00
_cell_angle_beta 113.52
_cell_angle_gamma 90.00
_space_group_name_H-M_alt 'C 1 2/m 1'
_space_group_IT_number 12
_space_group_name_Hall '-C 2y'
loop_
_atom_site_label
_atom_site_type_symbol
_atom_site_fract_x
_atom_site_fract_y
_atom_site_fract_z
Pm1 Pm 0.0000 0.0000 0.0000
Zn1 Zn 0.0000 0.2627 0.0000
Zn2 Zn 0.0491 0.5000 0.7756
Zn3 Zn 0.2064 0.1164 0.6214
Rh1 Rh 0.0000 0.3000 0.5000
# Calculated formation energy (eV/atom): -0.1641
# Final energy (eV/atom): -2.8591

***

# 2
# Pm2ZnRh3 PBE relaxed
data_Pm2ZnRh3
_chemical_formula_sum 'Pm4 Zn2 Rh6'
_cell_length_a 5.6045
_cell_length_b 5.6045
_cell_length_c 8.2431
_cell_angle_alpha 90.00
_cell_angle_beta 90.00
_cell_angle_gamma 120.00
_space_group_name_H-M_alt 'P 63/m m c'
_space_group_IT_number 194
_space_group_name_Hall '-P 6c 2c'
loop_
_atom_site_label
_atom_site_type_symbol
_atom_site_fract_x
_atom_site_fract_y
_atom_site_fract_z
Pm1 Pm 0.3333 0.6667 0.0604
Zn1 Zn 0.0000 0.0000 0.0000
Rh1 Rh 0.1668 0.3337 0.7500
# Calculated formation energy (eV/atom): -0.6641
# Final energy (eV/atom): -6.1357

***

# 3
# PmZn8Rh4 PBE relaxed
data_PmZn8Rh4
_chemical_formula_sum 'Pm2 Zn16 Rh8'
_cell_length_a 8.6026
_cell_length_b 8.6026
_cell_length_c 5.6245
_cell_angle_alpha 90.00
_cell_angle_beta 90.00
_cell_angle_gamma 90.00
_space_group_name_H-M_alt 'I 4/m m m'
_space_group_IT_number 139
_space_group_name_Hall '-I 4 2'
loop_
_atom_site_label
_atom_site_type_symbol
_atom_site_fract_x
_atom_site_fract_y
_atom_site_fract_z
Pm1 Pm 0.0000 0.0000 0.0000
Zn1 Zn 0.0000 0.2252 0.5000
Zn2 Zn 0.0000 0.3419 0.0000
Rh1 Rh 0.2500 0.2500 0.2500
# Calculated formation energy (eV/atom): -0.4222
# Final energy (eV/atom): -3.8336

***

# 4
# Pm3Zn2Rh PBE relaxed
data_Pm3Zn2Rh
_chemical_formula_sum 'Pm3 Zn2 Rh1'
_cell_length_a 3.6343
_cell_length_b 3.6343
_cell_length_c 10.7544
_cell_angle_alpha 90.00
_cell_angle_beta 90.00
_cell_angle_gamma 90.00
_space_group_name_H-M_alt 'P 4/m m m'
_space_group_IT_number 123
_space_group_name_Hall '-P 4 2'
loop_
_atom_site_label
_atom_site_type_symbol
_atom_site_fract_x
_atom_site_fract_y
_atom_site_fract_z
Pm1 Pm 0.0000 0.0000 0.0000
Pm2 Pm 0.0000 0.0000 0.3453
Zn1 Zn 0.5000 0.5000 0.1679
Rh1 Rh 0.5000 0.5000 0.5000
# Calculated formation energy (eV/atom): -0.4448
# Offset from the most stable computed form (eV/atom): 0.0000
# Final energy (eV/atom): -4.4700

***

# 5
# Pm2ZnRh2 PBE relaxed
data_Pm2ZnRh2
_chemical_formula_sum 'Pm4 Zn2 Rh4'
_cell_length_a 4.2307
_cell_length_b 5.9412
_cell_length_c 8.4434
_cell_angle_alpha 90.00
_cell_angle_beta 90.00
_cell_angle_gamma 90.00
_space_group_name_H-M_alt 'I m m m'
_space_group_IT_number 71
_space_group_name_Hall '-I 2 2'
loop_
_atom_site_label
_atom_site_type_symbol
_atom_site_fract_x
_atom_site_fract_y
_atom_site_fract_z
Pm1 Pm 0.0000 0.0000 0.2020
Zn1 Zn 0.0000 0.5000 0.0000
Rh1 Rh 0.0000 0.2618 0.5000
# Calculated formation energy (eV/atom): -0.7019
# Offset from the most stable computed form (eV/atom): 0.0000
# Final energy (eV/atom): -5.7975

***

# 6
# PmZnRh PBE relaxed
data_PmZnRh
_chemical_formula_sum 'Pm2 Zn2 Rh2'
_cell_length_a 3.4526
_cell_length_b 3.4526
_cell_length_c 9.9572
_cell_angle_alpha 90.00
_cell_angle_beta 90.00
_cell_angle_gamma 90.00
_space_group_name_H-M_alt 'I 4 m m'
_space_group_IT_number 107
_space_group_name_Hall 'I 4 -2'
loop_
_atom_site_label
_atom_site_type_symbol
_atom_site_fract_x
_atom_site_fract_y
_atom_site_fract_z
Pm1 Pm 0.0000 0.0000 0.0000
Zn1 Zn 0.0000 0.0000 0.7028
Rh1 Rh 0.0000 0.0000 0.3182
# Calculated formation energy (eV/atom): -0.4553
# Offset from the most stable computed form (eV/atom): 0.2162
# Final energy (eV/atom): -4.9140

***

# 7
# PmZn4Rh2 PBE relaxed
data_PmZn4Rh2
_chemical_formula_sum 'Pm2 Zn8 Rh4'
_cell_length_a 7.6643
_cell_length_b 7.6643
_cell_length_c 4.0903
_cell_angle_alpha 90.00
_cell_angle_beta 90.00
_cell_angle_gamma 90.00
_space_group_name_H-M_alt 'P 42/m n m'
_space_group_IT_number 136
_space_group_name_Hall '-P 4n 2n'
loop_
_atom_site_label
_atom_site_type_symbol
_atom_site_fract_x
_atom_site_fract_y
_atom_site_fract_z
Pm1 Pm 0.0000 0.0000 0.0000
Zn1 Zn 0.0924 0.3497 0.5000
Rh1 Rh 0.2151 0.7849 0.5000
# Calculated formation energy (eV/atom): -0.4725
# Final energy (eV/atom): -3.9795

***

# 8
# Pm3Zn8Rh3 PBE relaxed
data_Pm3Zn8Rh3
_chemical_formula_sum 'Pm6 Zn16 Rh6'
_cell_length_a 4.2476
_cell_length_b 9.4772
_cell_length_c 12.8682
_cell_angle_alpha 90.00
_cell_angle_beta 90.00
_cell_angle_gamma 90.00
_space_group_name_H-M_alt 'I m m m'
_space_group_IT_number 71
_space_group_name_Hall '-I 2 2'
loop_
_atom_site_label
_atom_site_type_symbol
_atom_site_fract_x
_atom_site_fract_y
_atom_site_fract_z
Pm1 Pm 0.0000 0.0000 0.0000
Pm2 Pm 0.0000 0.0000 0.3387
Zn1 Zn 0.0000 0.2732 0.1208
Zn2 Zn 0.0000 0.3613 0.3218
Rh1 Rh 0.0000 0.2307 0.5000
Rh2 Rh 0.0000 0.5000 0.0000
# Calculated formation energy (eV/atom): -0.4731
# Final energy (eV/atom): -3.7944

***

# 9
# Pm3Zn4Rh4 PBE relaxed
data_Pm3Zn4Rh4
_chemical_formula_sum 'Pm6 Zn8 Rh8'
_cell_length_a 7.6235
_cell_length_b 7.6235
_cell_length_c 7.6235
_cell_angle_alpha 90.00
_cell_angle_beta 90.00
_cell_angle_gamma 90.00
_space_group_name_H-M_alt 'I -4 3 m'
_space_group_IT_number 217
_space_group_name_Hall 'I -4 2 3'
loop_
_atom_site_label
_atom_site_type_symbol
_atom_site_fract_x
_atom_site_fract_y
_atom_site_fract_z
Pm1 Pm 0.0000 0.0000 0.5000
Zn1 Zn 0.1207 0.1207 0.8793
Rh1 Rh 0.1988 0.1988 0.1988
# Calculated formation energy (eV/atom): -0.3989
# Final energy (eV/atom): -4.8310

***

# 10
# Pm2Zn16Rh PBE relaxed
data_Pm2Zn16Rh
_chemical_formula_sum 'Pm6 Zn48 Rh3'
_cell_length_a 9.0167
_cell_length_b 9.0167
_cell_length_c 13.2260
_cell_angle_alpha 90.00
_cell_angle_beta 90.00
_cell_angle_gamma 120.00
_space_group_name_H-M_alt 'R 3 m'
_space_group_IT_number 160
_space_group_name_Hall 'R 3 -2"'
loop_
_atom_site_label
_atom_site_type_symbol
_atom_site_fract_x
_atom_site_fract_y
_atom_site_fract_z
Pm1 Pm 0.0000 0.0000 0.0000
Pm2 Pm 0.0000 0.0000 0.3294
Zn1 Zn 0.0000 0.0000 0.5677
Zn2 Zn 0.0001 0.2875 0.6706
Zn3 Zn 0.0093 0.5046 0.8203
Zn4 Zn 0.1677 0.3354 0.8500
Zn5 Zn 0.1702 0.3404 0.5033
Rh1 Rh 0.0000 0.0000 0.7672
# Calculated formation energy (eV/atom): -0.2878
# Final energy (eV/atom): -2.2476

***

# 11
# Pm2Zn2Rh PBE relaxed
data_Pm2Zn2Rh
_chemical_formula_sum 'Pm8 Zn8 Rh4'
_cell_length_a 10.7744
_cell_length_b 3.9572
_cell_length_c 11.2644
_cell_angle_alpha 90.00
_cell_angle_beta 110.61
_cell_angle_gamma 90.00
_space_group_name_H-M_alt 'C 1 2/m 1'
_space_group_IT_number 12
_space_group_name_Hall '-C 2y'
loop_
_atom_site_label
_atom_site_type_symbol
_atom_site_fract_x
_atom_site_fract_y
_atom_site_fract_z
Pm1 Pm 0.0031 0.0000 0.3383
Pm2 Pm 0.1941 0.0000 0.1223
Zn1 Zn 0.0253 0.5000 0.8916
Zn2 Zn 0.1732 0.5000 0.5475
Rh1 Rh 0.1984 0.5000 0.3111
# Calculated formation energy (eV/atom): -0.5139
# Offset from the most stable computed form (eV/atom): 0.0000
# Final energy (eV/atom): -4.3940